A plane-wave DFT calculation with PBE+U was carried out for an optimized crystal structure of BaMoF6.

extended XYZ file:
```
16
Lattice="6.637 0.000 0.000 0.000 7.612 0.000 -1.042 0.000 5.039" Properties=species:S:1:pos:R:3 pbc="T T T"
Ba 0.000 0.000 0.000
Ba 3.319 3.806 0.000
Mo -0.521 3.806 2.519
Mo 2.798 0.000 2.519
F -0.120 2.426 3.929
F -0.120 5.186 3.929
F 0.856 0.000 2.894
F 1.421 3.806 2.145
F 2.396 1.380 1.110
F 2.396 6.232 1.110
F 3.199 1.380 3.929
F 3.199 6.232 3.929
F 4.175 3.806 2.894
F 4.739 0.000 2.145
F 5.715 2.426 1.110
F 5.715 5.186 1.110
```

Values from the calculation:
Calculated density: 4.53 g/cm3
Total energy: -5.6180 eV/atom